Record 1
CaSb3Pb: relaxed, PBE.

POSCAR file:
```
CaSb3Pb
1.0
5.7806 0.0000 0.0000
0.0000 5.7806 0.0000
0.0000 0.0000 5.7806
Ca Sb Pb
1 3 1
direct
0.0000 0.0000 0.0000 Ca
0.0000 0.5000 0.5000 Sb
0.5000 0.0000 0.5000 Sb
0.5000 0.5000 0.0000 Sb
0.5000 0.5000 0.5000 Pb
```

Values from the calculation:
Formation energy without anion corrections: 436 meV per atom
Total magnetization: 0.0 μB/cell
E: -15.9 eV/cell
Space-group type: No. 221

---

Record 2
CaSbPb: relaxed, PBE.

POSCAR file:
```
CaSbPb
1.0
5.2739 0.0000 0.0000
-2.6370 4.5674 0.0000
0.0000 0.0000 3.9085
Ca Sb Pb
1 1 1
direct
0.0000 0.0000 0.0000 Ca
0.3333 0.6667 0.5904 Sb
0.6667 0.3333 0.4332 Pb
```

Values from the calculation:
Formation energy without anion corrections: -343 meV per atom
Total magnetization: 0.0 μB/cell
E: -10.9 eV/cell
Space-group type: No. 156

---

Record 3
CaSb2Pb: relaxed, PBE.

POSCAR file:
```
CaSb2Pb
1.0
5.8548 0.0000 0.0000
0.0000 5.8574 0.0000
0.0000 0.0000 3.4453
Ca Sb Pb
1 2 1
direct
0.0000 0.0000 0.0000 Ca
0.0000 0.5000 0.5416 Sb
0.5000 0.0000 0.4594 Sb
0.5000 0.5000 0.0023 Pb
```

Values from the calculation:
Formation energy without anion corrections: -382 meV per atom
Total magnetization: 0.0 μB/cell
E: -15.5 eV/cell
Space-group type: No. 25

---

> Which value of E does entry 3 give?

-15.5 eV/cell

---

> What is the formula in the second record?

CaSbPb